MgZrNi2: relaxed, PBE-GGA.

Cell and atoms, written as POSCAR:
```
MgZrNi2
1.0
3.453 0.000 0.000
0.000 4.117 0.000
0.000 0.000 8.713
Mg Zr Ni
2 2 4
Direct
0.000 0.000 0.000 Mg
0.500 0.500 0.500 Mg
0.000 0.500 0.233 Zr
0.500 0.000 0.733 Zr
0.000 0.000 0.488 Ni
0.000 0.500 0.745 Ni
0.500 0.000 0.245 Ni
0.500 0.500 0.988 Ni
```

Results
**Total magnetic moment**: 0.00 μB/cell
**Calculated formation energy**: -0.156 eV/atom
**SG**: Imm2
**Crystal system**: orthorhombic